Cs3K5Rb6, relaxed, DFT PBE; formation energy = 0.4 eV/f.u.; calculated density = 1.4 g cm⁻³; symmetry = No. 59; volume = 2557.9 Å³ per cell
1.0
7.811 0.000 0.000
0.000 18.295 0.000
0.000 0.000 17.900
Cs K Rb
6 10 12
Direct
0.250 0.031 0.248
0.250 0.469 0.248
0.250 0.750 0.247
0.750 0.250 0.753
0.750 0.531 0.752
0.750 0.969 0.752
0.250 0.124 0.632
0.250 0.376 0.632
0.250 0.619 0.977
0.250 0.750 0.747
0.250 0.881 0.977
0.750 0.119 0.023
0.750 0.250 0.253
0.750 0.381 0.023
0.750 0.624 0.368
0.750 0.876 0.368
0.250 0.111 0.883
0.250 0.250 0.105
0.250 0.250 0.407
0.250 0.389 0.883
0.250 0.601 0.518
0.250 0.899 0.518
0.750 0.101 0.482
0.750 0.399 0.482
0.750 0.611 0.117
0.750 0.750 0.593
0.750 0.750 0.895
0.750 0.889 0.117



CeZn4Os, relaxed, DFT PBE; formation energy = -0.7 eV/f.u.; calculated density = 10.1 g cm⁻³; symmetry = No. 216; volume = 97.5 Å³ per cell
1.0
0.000 3.653 3.653
3.653 0.000 3.653
3.653 3.653 0.000
Ce Zn Os
1 4 1
Direct
0.000 0.000 0.000
0.129 0.624 0.624
0.624 0.129 0.624
0.624 0.624 0.129
0.624 0.624 0.624
0.250 0.250 0.250



RbTbCuO3, relaxed, DFT PBE; calculated density = 5.0 g cm⁻³; symmetry = No. 11; volume = 236.5 Å³ per cell; uncorrected formation energy = -1.940 eV per atom
1.0
7.611 0.000 0.000
0.000 3.636 0.000
-3.284 0.000 8.545
Rb Tb Cu O
2 2 2 6
Direct
0.201 0.250 0.188
0.799 0.750 0.812
0.329 0.750 0.861
0.671 0.250 0.139
0.041 0.250 0.625
0.959 0.750 0.375
0.118 0.750 0.598
0.127 0.250 0.852
0.471 0.750 0.122
0.529 0.250 0.878
0.873 0.750 0.148
0.882 0.250 0.402



ScFe4Bi, relaxed, DFT PBE; formation energy = 0.0 eV/f.u.; calculated density = 8.9 g cm⁻³; symmetry = No. 216; volume = 88.8 Å³ per cell
1.0
0.000 3.541 3.541
3.541 0.000 3.541
3.541 3.541 0.000
Sc Fe Bi
1 4 1
Direct
0.000 0.000 0.000
0.122 0.626 0.626
0.626 0.122 0.626
0.626 0.626 0.122
0.626 0.626 0.626
0.250 0.250 0.250



Mo2H2Ir, relaxed, DFT PBE; calculated density = 12.4 g cm⁻³; symmetry = No. 139; volume = 51.8 Å³ per cell; E above lowest polymorph = 33 meV per atom
1.0
-1.734 1.734 4.308
1.734 -1.734 4.308
1.734 1.734 -4.308
Mo H Ir
2 2 1
Direct
0.156 0.156 0.000
0.844 0.844 0.000
0.250 0.750 0.500
0.750 0.250 0.500
0.500 0.500 0.000



PmDyCl3, relaxed, DFT PBE; calculated density = 4.8 g cm⁻³; symmetry = No. 12; volume = 286.0 Å³ per cell; uncorrected formation energy = -1.839 eV per atom
1.0
7.950 -1.947 0.000
7.950 1.947 0.000
-5.245 0.000 9.238
Pm Dy Cl
2 2 6
Direct
0.140 0.140 0.291
0.860 0.860 0.709
0.414 0.414 0.047
0.586 0.586 0.953
0.047 0.047 0.749
0.223 0.223 0.114
0.342 0.342 0.493
0.658 0.658 0.507
0.777 0.777 0.886
0.953 0.953 0.251



KFeRu3, relaxed, DFT PBE; formation energy = 7.2 eV/f.u.; calculated density = 7.0 g cm⁻³; symmetry = No. 221; volume = 94.0 Å³ per cell; E above lowest polymorph = 0 meV per atom
1.0
4.547 0.000 0.000
0.000 4.547 0.000
0.000 0.000 4.547
K Fe Ru
1 1 3
Direct
0.000 0.000 0.000
0.500 0.500 0.500
0.000 0.500 0.500
0.500 0.000 0.500
0.500 0.500 0.000



Sc2SnTe2, relaxed, DFT PBE; calculated density = 6.0 g cm⁻³; symmetry = No. 127; volume = 256.4 Å³ per cell; uncorrected formation energy = -0.623 eV per atom; E above lowest polymorph = 149 meV per atom
1.0
8.422 0.000 0.000
0.000 8.422 0.000
0.000 0.000 3.615
Sc Sn Te
4 2 4
Direct
0.149 0.351 0.000
0.351 0.851 0.000
0.649 0.149 0.000
0.851 0.649 0.000
0.000 0.000 0.500
0.500 0.500 0.500
0.144 0.644 0.500
0.356 0.144 0.500
0.644 0.856 0.500
0.856 0.356 0.500



Cr2ReB, relaxed, DFT PBE; formation energy = 1.2 eV/f.u.; calculated density = 10.5 g cm⁻³; symmetry = No. 122; volume = 95.1 Å³ per cell
1.0
-3.320 3.320 2.157
3.320 -3.320 2.157
3.320 3.320 -2.157
Cr Re B
4 2 2
Direct
0.031 0.125 0.406
0.375 0.969 0.094
0.719 0.625 0.594
0.875 0.281 0.906
0.250 0.750 0.500
0.500 0.500 0.000
0.000 0.000 0.000
0.750 0.250 0.500



PmPrNiHg, relaxed, DFT PBE; formation energy = -1.1 eV/f.u.; calculated density = 9.0 g cm⁻³; symmetry = No. 216; volume = 100.6 Å³ per cell
1.0
0.000 3.692 3.692
3.692 0.000 3.692
3.692 3.692 0.000
Pm Pr Ni Hg
1 1 1 1
Direct
0.000 0.000 0.000
0.500 0.500 0.500
0.250 0.250 0.250
0.750 0.750 0.750



AcLaTiN3, relaxed, DFT PBE; calculated density = 7.6 g cm⁻³; symmetry = No. 12; volume = 200.0 Å³ per cell; uncorrected formation energy = -1.270 eV per atom
1.0
6.882 -2.031 0.000
6.882 2.031 0.000
-2.004 0.000 7.155
Ac La Ti N
2 2 2 6
Direct
0.147 0.147 0.075
0.853 0.853 0.925
0.150 0.150 0.574
0.850 0.850 0.426
0.500 0.500 0.274
0.500 0.500 0.726
0.001 0.001 0.262
0.343 0.343 0.668
0.345 0.345 0.176
0.655 0.655 0.824
0.657 0.657 0.332
0.999 0.999 0.738



K2BaCd, relaxed, DFT PBE; formation energy = 0.2 eV/f.u.; calculated density = 2.7 g cm⁻³; symmetry = No. 10; volume = 204.2 Å³ per cell
1.0
4.493 0.000 0.000
0.000 7.009 0.000
-0.661 0.000 6.485
K Ba Cd
2 1 1
Direct
0.202 0.000 0.273
0.798 0.000 0.727
0.500 0.500 0.000
0.000 0.500 0.500



What is the calculated density in the fifth record?
12.4 g cm⁻³



What is the formula in the fifth record?
Mo2H2Ir



Copy entry 10 word for word.
PmPrNiHg, relaxed, DFT PBE; formation energy = -1.1 eV/f.u.; calculated density = 9.0 g cm⁻³; symmetry = No. 216; volume = 100.6 Å³ per cell
1.0
0.000 3.692 3.692
3.692 0.000 3.692
3.692 3.692 0.000
Pm Pr Ni Hg
1 1 1 1
Direct
0.000 0.000 0.000
0.500 0.500 0.500
0.250 0.250 0.250
0.750 0.750 0.750



Number 7 is which compound?
KFeRu3